A relaxed K3V2CdF9 crystal, computed with PBE+U.

The space group is P-3m1 (No. 164) and the conventional cell measures 6.0753, 6.0753 and 7.4722 Å, with angles of 90.00, 90.00 and 120.00 degrees. The distinct sites, in fractional coordinates, are K at (0.0000, 0.0000, 0.0000), K at (0.3333, 0.6667, 0.6728), V at (0.3333, 0.6667, 0.1595), Cd at (0.0000, 0.0000, 0.5000), F at (0.0000, 0.5000, 0.0000) and F at (0.1712, 0.3424, 0.3241).

The value obtained for the total energy is -5.052 eV per atom. The value obtained for the density is 3.5 g/cm3. The calculation puts the volume at 239 Å³ per cell.